(1)
Nd4Sm5Dy4 | Alexandria via LeMat-Bulk | PBE | optimized geometry; total DFT energy (no corrections) = -4.683 eV/atom; space group = I4/m; E_form = 15 meV per atom
1.0
0.619 4.627 -2.057
-6.050 5.729 4.741
6.920 4.177 5.154
Dy Sm Nd
4 5 4
direct
0.846 0.923 0.385 Dy
0.231 0.615 0.923 Dy
0.154 0.077 0.615 Dy
0.769 0.385 0.077 Dy
0.000 0.000 0.000 Sm
0.691 0.849 0.769 Sm
0.309 0.151 0.231 Sm
0.540 0.769 0.151 Sm
0.460 0.231 0.849 Sm
0.617 0.305 0.460 Nd
0.078 0.540 0.305 Nd
0.383 0.695 0.540 Nd
0.922 0.460 0.695 Nd

(2)
CdRhW | Alexandria via LeMat-Bulk | PBE | optimized geometry; energy above the lowest structure with this stoichiometry = 0.0 meV per atom; total DFT energy (no corrections) = -7.177 eV/atom; space group = P4/nmm; E_form = -104 meV per atom
1.0
-1.048 2.478 0.986
-2.488 -1.290 0.598
4.123 -2.736 11.254
W Rh Cd
2 2 2
direct
0.500 0.000 0.086 W
0.000 0.500 0.914 W
0.500 0.000 0.771 Rh
0.000 0.500 0.229 Rh
0.000 0.500 0.603 Cd
0.500 0.000 0.397 Cd